The following is a DFT calculation (GGA-PBE) of crystalline TaCdCoSb at its relaxed geometry.

As for the total energy: -21.31 eV for the cell shown. The calculation puts the total magnetization at 0.94 μB per cell.

Cell: 4.7015 4.7015 4.7015 Å, 60.00 60.00 60.00°
With the nearest neighbours (Å) after each atom.
Sites, in units of the cell vectors:
Ta 0.0000 0.0000 0.0000  4 Co 2.88, 4 Cd 2.88
Cd 0.2500 0.2500 0.2500  4 Sb 2.88, 4 Ta 2.88
Co 0.7500 0.7500 0.7500  4 Sb 2.88, 4 Ta 2.88
Sb 0.5000 0.5000 0.5000  4 Co 2.88, 4 Cd 2.88